Entry from Alexandria via LeMat-Bulk: LaTeSN2 after structural relaxation (PBE-GGA).

Space group   P4/mmm
D(E_F)   4.6 states/eV/cell
Energy relative to the elements, uncorrected   806 meV per atom
Calculated total energy   -24.8 eV/cell
Spin magnetization   0.0 μB per formula unit
E above lowest polymorph   701 meV/atom

Unit cell a=4.267 b=4.267 c=6.112 alpha=90.00 beta=90.00 gamma=90.00
Fractional positions:
N (0.000, 0.500, 0.000)
N (0.500, 0.000, 0.000)
S (0.000, 0.000, 0.500)
Te (0.500, 0.500, 0.500)
La (0.000, 0.000, 0.000)

***

Entry from Alexandria via LeMat-Bulk: LaTeSN2 after structural relaxation (PBE-GGA).

Space group   P4/mmm
D(E_F)   4.2 states/eV/cell
Energy relative to the elements, uncorrected   879 meV per atom
Calculated total energy   -24.5 eV/cell
Spin magnetization   0.0 μB per formula unit
E above lowest polymorph   773 meV/atom

Unit cell a=4.120 b=4.120 c=7.455 alpha=90.00 beta=90.00 gamma=90.00
Fractional positions:
N (0.000, 0.500, 0.000)
N (0.500, 0.000, 0.000)
S (0.500, 0.500, 0.500)
Te (0.000, 0.000, 0.500)
La (0.000, 0.000, 0.000)

***

Entry from Alexandria via LeMat-Bulk: LaThSN after structural relaxation (PBE-GGA).

Space group   P3m1
D(E_F)   1.5 states/eV/cell
Energy relative to the elements, uncorrected   -1664 meV per atom
Calculated total energy   -31.5 eV/cell
Spin magnetization   0.0 μB per formula unit

Unit cell a=3.782 b=3.782 c=6.824 alpha=90.00 beta=90.00 gamma=120.00
Fractional positions:
La (0.886, 0.841, 0.155)
Th (0.553, 0.174, 0.575)
S (0.219, 0.508, 0.861)
N (0.220, 0.508, 0.380)

***

Entry from Alexandria via LeMat-Bulk: LaTiSN2 after structural relaxation (PBE-GGA).

Space group   P4/mmm
D(E_F)   2.8 states/eV/cell
Energy relative to the elements, uncorrected   -1049 meV per atom
Calculated total energy   -38.8 eV/cell
Spin magnetization   0.3 μB per formula unit
E above lowest polymorph   0 meV/atom

Unit cell a=4.041 b=4.041 c=4.803 alpha=90.00 beta=90.00 gamma=90.00
Site moments in Bohr magnetons follow the coordinates.
Fractional positions:
N (0.000, 0.500, 0.000)  -0.10
N (0.500, 0.000, 0.000)  -0.10
S (0.000, 0.000, 0.500)  0.00
Ti (0.000, 0.000, 0.000)  0.01
La (0.500, 0.500, 0.500)  0.00

***

Entry from Alexandria via LeMat-Bulk: LaTiSN2 after structural relaxation (PBE-GGA).

Space group   P4/mmm
D(E_F)   7.2 states/eV/cell
Energy relative to the elements, uncorrected   611 meV per atom
Calculated total energy   -30.5 eV/cell
Spin magnetization   1.5 μB per formula unit
E above lowest polymorph   1660 meV/atom

Unit cell a=4.185 b=4.185 c=5.824 alpha=90.00 beta=90.00 gamma=90.00
Site moments in Bohr magnetons follow the coordinates.
Fractional positions:
N (0.000, 0.500, 0.000)  0.08
N (0.500, 0.000, 0.000)  0.08
S (0.000, 0.000, 0.500)  0.08
Ti (0.500, 0.500, 0.500)  -1.53
La (0.000, 0.000, 0.000)  0.03

***

Entry from Alexandria via LeMat-Bulk: LaUSN2 after structural relaxation (PBE-GGA).

Space group   P4mm
D(E_F)   3.5 states/eV/cell
Energy relative to the elements, uncorrected   -1642 meV per atom
Calculated total energy   -45.2 eV/cell
Spin magnetization   1.0 μB per formula unit

Unit cell a=4.180 b=4.180 c=5.818 alpha=90.00 beta=90.00 gamma=90.00
Site moments in Bohr magnetons follow the coordinates.
Fractional positions:
La (0.500, 0.500, 0.666)  0.02
U (0.000, 0.000, 0.012)  1.03
S (0.000, 0.000, 0.489)  -0.02
N (0.000, 0.500, 0.917)  -0.05
N (0.500, 0.000, 0.917)  -0.05

***

Entry from Alexandria via LeMat-Bulk: LaVS2N after structural relaxation (PBE-GGA).

Space group   P4/mmm
D(E_F)   1.9 states/eV/cell
Energy relative to the elements, uncorrected   -1198 meV per atom
Calculated total energy   -36.6 eV/cell
Spin magnetization   0.1 μB per formula unit
E above lowest polymorph   0 meV/atom

Unit cell a=4.772 b=4.772 c=3.764 alpha=90.00 beta=90.00 gamma=90.00
Site moments in Bohr magnetons follow the coordinates.
Fractional positions:
N (0.000, 0.000, 0.500)  -0.01
S (0.000, 0.500, 0.000)  0.00
S (0.500, 0.000, 0.000)  0.00
V (0.000, 0.000, 0.000)  0.10
La (0.500, 0.500, 0.500)  0.01

***

Entry from Alexandria via LeMat-Bulk: LaVS2N after structural relaxation (PBE-GGA).

Space group   P4/mmm
D(E_F)   6.6 states/eV/cell
Energy relative to the elements, uncorrected   471 meV per atom
Calculated total energy   -28.3 eV/cell
Spin magnetization   1.8 μB per formula unit
E above lowest polymorph   1669 meV/atom

Unit cell a=5.511 b=5.511 c=4.246 alpha=90.00 beta=90.00 gamma=90.00
Site moments in Bohr magnetons follow the coordinates.
Fractional positions:
N (0.000, 0.000, 0.500)  0.38
S (0.000, 0.500, 0.000)  0.32
S (0.500, 0.000, 0.000)  0.32
V (0.500, 0.500, 0.500)  -2.91
La (0.000, 0.000, 0.000)  0.03

***

Entry from Alexandria via LeMat-Bulk: LaYSN2 after structural relaxation (PBE-GGA).

Space group   P4/mmm
D(E_F)   1.7 states/eV/cell
Energy relative to the elements, uncorrected   -218 meV per atom
Calculated total energy   -33.3 eV/cell
Spin magnetization   0.0 μB per formula unit
E above lowest polymorph   352 meV/atom

Unit cell a=4.241 b=4.241 c=5.611 alpha=90.00 beta=90.00 gamma=90.00
Fractional positions:
Y (0.500, 0.500, 0.500)
S (0.000, 0.000, 0.500)
N (0.000, 0.500, 0.000)
N (0.500, 0.000, 0.000)
La (0.000, 0.000, 0.000)

***

Entry from Alexandria via LeMat-Bulk: LaYS2N after structural relaxation (PBE-GGA).

Space group   P4/mmm
D(E_F)   2.7 states/eV/cell
Energy relative to the elements, uncorrected   -630 meV per atom
Calculated total energy   -31.1 eV/cell
Spin magnetization   0.2 μB per formula unit
E above lowest polymorph   450 meV/atom

Unit cell a=5.449 b=5.449 c=4.158 alpha=90.00 beta=90.00 gamma=90.00
Site moments in Bohr magnetons follow the coordinates.
Fractional positions:
Y (0.500, 0.500, 0.500)  -0.01
S (0.000, 0.500, 0.000)  0.01
S (0.500, 0.000, 0.000)  0.01
N (0.000, 0.000, 0.500)  0.13
La (0.000, 0.000, 0.000)  0.07

***

Entry from Alexandria via LeMat-Bulk: LaYSN2 after structural relaxation (PBE-GGA).

Space group   P4/mmm
D(E_F)   1.6 states/eV/cell
Energy relative to the elements, uncorrected   -571 meV per atom
Calculated total energy   -35.0 eV/cell
Spin magnetization   0.9 μB per formula unit
E above lowest polymorph   0 meV/atom

Unit cell a=4.350 b=4.350 c=5.279 alpha=90.00 beta=90.00 gamma=90.00
Site moments in Bohr magnetons follow the coordinates.
Fractional positions:
Y (0.000, 0.000, 0.000)  0.06
S (0.000, 0.000, 0.500)  0.01
N (0.000, 0.500, 0.000)  0.31
N (0.500, 0.000, 0.000)  0.31
La (0.500, 0.500, 0.500)  -0.02

***

Entry from Alexandria via LeMat-Bulk: LaYS2N after structural relaxation (PBE-GGA).

Space group   P4/mmm
D(E_F)   2.7 states/eV/cell
Energy relative to the elements, uncorrected   -1080 meV per atom
Calculated total energy   -33.4 eV/cell
Spin magnetization   0.7 μB per formula unit
E above lowest polymorph   0 meV/atom

Unit cell a=5.187 b=5.187 c=4.297 alpha=90.00 beta=90.00 gamma=90.00
Site moments in Bohr magnetons follow the coordinates.
Fractional positions:
Y (0.000, 0.000, 0.000)  0.05
S (0.000, 0.500, 0.000)  0.04
S (0.500, 0.000, 0.000)  0.04
N (0.000, 0.000, 0.500)  0.45
La (0.500, 0.500, 0.500)  -0.03

***

Entry from Alexandria via LeMat-Bulk: La2ZrS2N2 after structural relaxation (PBE-GGA).

Space group   I4/mmm
Energy relative to the elements, uncorrected   -1824 meV per atom
Calculated total energy   -56.1 eV/cell
Spin magnetization   0.0 μB per formula unit

Unit cell a=4.294 b=4.294 c=7.957 alpha=105.65 beta=105.65 gamma=90.00
Fractional positions:
La (0.381, 0.381, 0.762)
La (0.619, 0.619, 0.238)
Zr (0.000, 0.000, 0.000)
S (0.179, 0.179, 0.357)
S (0.821, 0.821, 0.643)
N (0.000, 0.500, 0.000)
N (0.500, 0.000, 0.000)

***

Entry from Alexandria via LeMat-Bulk: LaZrS2N after structural relaxation (PBE-GGA).

Space group   P4/mmm
D(E_F)   1.2 states/eV/cell
Energy relative to the elements, uncorrected   -1339 meV per atom
Calculated total energy   -36.8 eV/cell
Spin magnetization   0.0 μB per formula unit
E above lowest polymorph   0 meV/atom

Unit cell a=5.041 b=5.041 c=4.121 alpha=90.00 beta=90.00 gamma=90.00
Fractional positions:
S (0.000, 0.500, 0.000)
S (0.500, 0.000, 0.000)
N (0.000, 0.000, 0.500)
Zr (0.000, 0.000, 0.000)
La (0.500, 0.500, 0.500)

***

Entry from Alexandria via LeMat-Bulk: LaZrS2N after structural relaxation (PBE-GGA).

Space group   P4/mmm
D(E_F)   2.5 states/eV/cell
Energy relative to the elements, uncorrected   27 meV per atom
Calculated total energy   -29.9 eV/cell
Spin magnetization   0.0 μB per formula unit
E above lowest polymorph   1366 meV/atom

Unit cell a=5.422 b=5.422 c=4.094 alpha=90.00 beta=90.00 gamma=90.00
Fractional positions:
S (0.000, 0.500, 0.000)
S (0.500, 0.000, 0.000)
N (0.000, 0.000, 0.500)
Zr (0.500, 0.500, 0.500)
La (0.000, 0.000, 0.000)

***

Entry from Alexandria via LeMat-Bulk: La3SbN after structural relaxation (PBE-GGA).

Space group   Cmmm
D(E_F)   7.8 states/eV/cell
Energy relative to the elements, uncorrected   -1061 meV per atom
Calculated total energy   -65.1 eV/cell
Spin magnetization   0.0 μB per formula unit

Unit cell a=4.995 b=8.360 c=6.986 alpha=65.29 beta=90.00 gamma=90.00
Fractional positions:
Sb (0.951, 0.705, 0.929)
Sb (0.951, 0.164, 0.200)
La (0.951, 0.711, 0.426)
La (0.451, 0.934, 0.564)
La (0.451, 0.434, 0.315)
La (0.451, 0.434, 0.814)
La (0.451, 0.934, 0.064)
La (0.951, 0.158, 0.702)
N (0.451, 0.666, 0.448)
N (0.451, 0.203, 0.680)

***

Entry from Alexandria via LeMat-Bulk: La3SbN after structural relaxation (PBE-GGA).

Space group   P-1
D(E_F)   9.6 states/eV/cell
Energy relative to the elements, uncorrected   -1024 meV per atom
Calculated total energy   -64.7 eV/cell
Spin magnetization   0.1 μB per formula unit

Unit cell a=8.709 b=6.565 c=6.260 alpha=114.90 beta=101.54 gamma=103.07
Fractional positions:
Sb (0.950, 0.473, 0.849)
Sb (0.647, 0.821, 0.197)
La (0.299, 0.853, 0.879)
La (0.299, 0.441, 0.166)
La (0.810, 0.903, 0.778)
La (0.076, 0.036, 0.412)
La (0.788, 0.391, 0.268)
La (0.521, 0.259, 0.634)
N (0.299, 0.136, 0.266)
N (0.299, 0.158, 0.780)

***

Entry from Alexandria via LeMat-Bulk: La3SbN after structural relaxation (PBE-GGA).

Space group   P6_3/mmc
D(E_F)   12.6 states/eV/cell
Energy relative to the elements, uncorrected   -578 meV per atom
Calculated total energy   -60.2 eV/cell
Spin magnetization   0.0 μB per formula unit

Unit cell a=5.573 b=5.573 c=9.698 alpha=90.00 beta=90.00 gamma=120.00
Fractional positions:
Sb (0.333, 0.667, 0.750)
Sb (0.667, 0.333, 0.250)
N (0.000, 0.000, 0.000)
N (0.000, 0.000, 0.500)
La (0.000, 0.000, 0.250)
La (0.000, 0.000, 0.750)
La (0.333, 0.667, 0.086)
La (0.333, 0.667, 0.414)
La (0.667, 0.333, 0.586)
La (0.667, 0.333, 0.914)

***

Entry from Alexandria via LeMat-Bulk: La3SbN after structural relaxation (PBE-GGA).

Space group   P2_1/m
D(E_F)   6.4 states/eV/cell
Energy relative to the elements, uncorrected   -1002 meV per atom
Calculated total energy   -64.5 eV/cell
Spin magnetization   0.0 μB per formula unit

Unit cell a=5.253 b=7.675 c=7.521 alpha=90.00 beta=111.40 gamma=90.00
Fractional positions:
Sb (0.695, 0.250, 0.875)
Sb (0.305, 0.750, 0.125)
N (0.972, 0.250, 0.447)
N (0.028, 0.750, 0.553)
La (0.872, 0.986, 0.254)
La (0.128, 0.014, 0.746)
La (0.872, 0.514, 0.254)
La (0.128, 0.486, 0.746)
La (0.461, 0.250, 0.426)
La (0.539, 0.750, 0.574)

***

Entry from Alexandria via LeMat-Bulk: La3SbN after structural relaxation (PBE-GGA).

Space group   P2/m
D(E_F)   7.6 states/eV/cell
Energy relative to the elements, uncorrected   -1037 meV per atom
Calculated total energy   -64.8 eV/cell
Spin magnetization   0.1 μB per formula unit

Unit cell a=4.186 b=11.269 c=6.423 alpha=91.15 beta=90.00 gamma=90.00
Site moments in Bohr magnetons follow the coordinates.
Fractional positions:
Sb (0.951, 0.755, 0.737)  0.00
Sb (0.951, 0.114, 0.260)  0.00
La (0.951, 0.643, 0.237)  0.00
La (0.451, 0.934, 0.498)  0.06
La (0.451, 0.526, 0.775)  0.00
La (0.451, 0.343, 0.222)  0.00
La (0.451, 0.934, 0.998)  0.06
La (0.951, 0.226, 0.760)  0.00
N (0.451, 0.549, 0.141)  0.00
N (0.451, 0.320, 0.856)  0.00